1.
This record from the Alexandria database describes an optimized crystal structure of SiBi2MoH. The functional is GGA-PBE.

Structure (POSCAR):
```
SiBi2MoH
1.0
5.5501 0.0000 0.0000
0.0000 5.5501 0.0000
0.0000 0.0000 3.3181
Si Bi Mo H
1 2 1 1
Direct
0.0000 0.0000 0.0000
0.0000 0.5000 0.0000
0.5000 0.0000 0.0000
0.5000 0.5000 0.5000
0.0000 0.0000 0.5000
```

## Properties
* symmetry: No. 123
* total energy: -4.755 eV per atom

***

2.
This record from the Alexandria database describes an optimized crystal structure of SrBiMo2H. The functional is GGA-PBE.

Structure (POSCAR):
```
SrBiMo2H
1.0
6.3547 0.0000 0.0000
0.0000 6.3547 0.0000
0.0000 0.0000 6.2593
Sr Bi Mo H
1 1 2 1
Direct
0.0000 0.0000 0.0000
0.0000 0.0000 0.5000
0.0000 0.5000 0.0000
0.5000 0.0000 0.0000
0.5000 0.5000 0.5000
```

## Properties
* symmetry: No. 123
* total energy: -3.286 eV per atom

***

3.
This record from the Alexandria database describes an optimized crystal structure of TiBiMoH2. The functional is GGA-PBE.

Structure (POSCAR):
```
TiBiMoH2
1.0
3.8086 0.0000 0.0000
0.0000 3.8086 0.0000
0.0000 0.0000 5.6328
Ti Bi Mo H
1 1 1 2
Direct
0.0000 0.0000 0.0000
0.0000 0.0000 0.5000
0.5000 0.5000 0.5000
0.0000 0.5000 0.0000
0.5000 0.0000 0.0000
```

## Properties
* symmetry: No. 123
* total energy: -5.074 eV per atom

***

4.
This record from the Alexandria database describes an optimized crystal structure of BiHN2. The functional is GGA-PBE.

Structure (POSCAR):
```
BiHN2
1.0
3.4561 0.0000 0.0000
-1.7281 2.9931 0.0000
0.0000 0.0000 14.6946
Bi H N
3 3 6
Direct
0.0000 0.0000 0.0000
0.3333 0.6667 0.6667
0.6667 0.3333 0.3333
0.0000 0.0000 0.5000
0.3333 0.6667 0.1667
0.6667 0.3333 0.8333
0.0000 0.0000 0.4116
0.0000 0.0000 0.5884
0.3333 0.6667 0.0783
0.3333 0.6667 0.2550
0.6667 0.3333 0.7450
0.6667 0.3333 0.9217
```

## Properties
* symmetry: No. 166
* total energy: -5.185 eV per atom

***

5.
This record from the Alexandria database describes an optimized crystal structure of BiHN. The functional is GGA-PBE.

Structure (POSCAR):
```
BiHN
1.0
3.4184 0.0000 0.0000
0.0000 3.4184 0.0000
0.0000 0.0000 9.5327
Bi H N
2 2 2
Direct
0.0000 0.0000 0.0000
0.5000 0.5000 0.5000
0.0000 0.0000 0.6747
0.5000 0.5000 0.1747
0.0000 0.0000 0.5661
0.5000 0.5000 0.0661
```

## Properties
* symmetry: No. 107
* total energy: -4.766 eV per atom

***

6.
This record from the Alexandria database describes an optimized crystal structure of BiHN3. The functional is GGA-PBE.

Structure (POSCAR):
```
BiHN3
1.0
3.6220 0.0000 0.0000
0.0000 3.6220 0.0000
0.0000 0.0000 3.6220
Bi H N
1 1 3
Direct
0.0000 0.0000 0.0000
0.5000 0.5000 0.5000
0.0000 0.5000 0.5000
0.5000 0.0000 0.5000
0.5000 0.5000 0.0000
```

## Properties
* symmetry: No. 221
* total energy: -4.189 eV per atom

***

7.
This record from the Alexandria database describes an optimized crystal structure of BiH3N. The functional is GGA-PBE.

Structure (POSCAR):
```
BiH3N
1.0
3.5106 0.0000 0.0000
0.0000 3.5106 0.0000
0.0000 0.0000 3.5106
Bi H N
1 3 1
Direct
0.0000 0.0000 0.0000
0.0000 0.5000 0.5000
0.5000 0.0000 0.5000
0.5000 0.5000 0.0000
0.5000 0.5000 0.5000
```

## Properties
* symmetry: No. 221
* total energy: -3.193 eV per atom

***

8.
This record from the Alexandria database describes an optimized crystal structure of BiHN2. The functional is GGA-PBE.

Structure (POSCAR):
```
BiHN2
1.0
4.5008 0.0000 0.0000
0.0000 4.5008 0.0000
0.0000 0.0000 9.7427
Bi H N
4 4 8
Direct
0.0000 0.0000 0.0000
0.0000 0.5000 0.2500
0.5000 0.0000 0.7500
0.5000 0.5000 0.5000
0.0000 0.0000 0.5000
0.0000 0.5000 0.7500
0.5000 0.0000 0.2500
0.5000 0.5000 0.0000
0.1843 0.2500 0.6250
0.2500 0.6843 0.8750
0.2500 0.8157 0.3750
0.3157 0.2500 0.1250
0.6843 0.7500 0.1250
0.7500 0.1843 0.3750
0.7500 0.3157 0.8750
0.8157 0.7500 0.6250
```

## Properties
* symmetry: No. 122
* total energy: -4.554 eV per atom